[1]
This record from OQMD via LeMat-Bulk describes a geometry-optimized ZnH16C17N2O8 structure. The functional is PBE.

Summary:
Space group ... P-1

Cell lengths 8.0016, 9.2850, 12.2031 Å; angles 78.99, 84.65, 70.87 degrees
Closest atoms and distances in Å follow each position.
Fractional positions:
H 0.6917 0.0099 0.0554  1 C 1.09
H 0.7312 0.2703 0.2604  1 C 1.08
H 0.1992 0.8808 0.2736  1 C 1.09
H 0.0205 0.3725 0.2095  1 C 1.08
H 0.2480 0.4064 0.5750  1 C 1.09
H 0.9795 0.6275 0.7905  1 C 1.08
H 0.2822 0.1541 0.5310  1 C 1.10
H 0.7059 0.9886 0.2723  1 C 1.10
H 0.5568 0.1388 0.4331  1 C 1.10
H 0.3441 0.2464 0.1993  1 C 1.09
H 0.8008 0.1192 0.7264  1 C 1.09
H 0.3083 0.9901 0.9446  1 C 1.09
H 0.5795 0.9366 0.7098  1 C 1.09
H 0.4007 0.0707 0.1445  1 C 1.09
H 0.7178 0.8459 0.4690  1 C 1.10
H 0.7520 0.5936 0.4250  1 C 1.09
H 0.0818 0.6312 0.2282  1 O 1.06
H 0.0864 0.1187 0.5112  1 C 1.10
H 0.5993 0.9293 0.8555  1 C 1.09
H 0.4205 0.0634 0.2902  1 C 1.09
H 0.7530 0.1696 0.4638  1 C 1.10
H 0.2470 0.8304 0.5362  1 C 1.10
H 0.2941 0.0114 0.7277  1 C 1.10
H 0.9182 0.3688 0.7718  1 O 1.06
H 0.6423 0.0720 0.5684  1 C 1.10
H 0.0995 0.1710 0.7024  1 C 1.09
H 0.6559 0.7536 0.8007  1 C 1.09
H 0.9005 0.8290 0.2976  1 C 1.09
H 0.2688 0.7297 0.7396  1 C 1.08
H 0.3577 0.9280 0.4316  1 C 1.10
H 0.4432 0.8612 0.5669  1 C 1.10
H 0.9136 0.8813 0.4888  1 C 1.10
O 0.7892 0.7168 0.0045  1 C 1.28
O 0.4289 0.7192 0.9636  1 C 1.27
O 0.1830 0.6345 0.2765  1 H 1.06
O 0.5153 0.7644 0.2314  1 C 1.25
O 0.2108 0.2832 0.9955  1 C 1.28
O 0.2315 0.5892 0.0163  1 C 1.27
O 0.8538 0.5847 0.6204  1 C 1.23
O 0.8170 0.3655 0.7235  1 H 1.06
O 0.1462 0.4154 0.3796  1 C 1.23
O 0.4282 0.4823 0.7956  1 C 1.30
O 0.5711 0.2808 0.0364  1 C 1.27
O 0.4847 0.2356 0.7686  1 C 1.25
O 0.7685 0.4108 0.9837  1 C 1.27
O 0.5718 0.5177 0.2044  1 C 1.30
O 0.0666 0.3640 0.8344  1 C 1.26
O 0.9334 0.6360 0.1656  1 C 1.26
N 0.9346 0.0449 0.2788  3 C 1.34-1.46
N 0.1616 0.1268 0.2374  3 C 1.34-1.46
N 0.0654 0.9551 0.7212  3 C 1.34-1.46
N 0.8384 0.8732 0.7626  3 C 1.34-1.46
C 0.8883 0.0005 0.7343  1 H 1.09
C 0.1721 0.9962 0.9686  1 H 1.09
C 0.1027 0.2766 0.9274  2 O 1.26-1.28
C 0.1292 0.7953 0.7426  1 H 1.08
C 0.8708 0.2047 0.2574  1 H 1.08
C 0.6331 0.4904 0.5702  3 C 1.39-1.49
C 0.4703 0.3744 0.7345  2 O 1.25-1.30
C 0.8281 0.9427 0.3193  2 H 1.09-1.10
C 0.3436 0.1268 0.2164  3 H 1.09
C 0.0136 0.2559 0.2311  1 H 1.08
C 0.7250 0.2882 0.0052  2 O 1.27
C 0.1117 0.9995 0.2657  1 H 1.09
C 0.8279 0.0038 0.0314  1 H 1.09
C 0.6800 0.0856 0.4792  3 H 1.10
C 0.1326 0.8588 0.0027  3 C 1.39-1.48
C 0.9864 0.7441 0.7689  1 H 1.08
C 0.5075 0.5655 0.3869  3 C 1.39-1.50
C 0.3669 0.5096 0.4298  3 C 1.39-1.49
C 0.9593 0.8615 0.0358  3 C 1.39-1.50
C 0.3200 0.9144 0.5208  3 H 1.10
C 0.8973 0.7234 0.0726  2 O 1.26-1.28
C 0.8674 0.1412 0.9973  3 C 1.39-1.48
C 0.2119 0.0685 0.5552  2 H 1.10
C 0.6393 0.5551 0.4575  1 H 1.09
C 0.2221 0.5141 0.3597  2 O 1.23-1.33
C 0.7881 0.9315 0.4448  2 H 1.10
C 0.4925 0.4345 0.6131  3 C 1.39-1.50
C 0.6564 0.8732 0.7836  3 H 1.09
C 0.2750 0.7118 0.9948  2 O 1.27
C 0.1719 0.0573 0.6807  2 H 1.09-1.10
C 0.0407 0.1385 0.9642  3 C 1.39-1.50
C 0.3607 0.4449 0.5425  1 H 1.09
C 0.7779 0.4859 0.6403  2 O 1.23-1.33
C 0.5297 0.6256 0.2655  2 O 1.25-1.30
Zn 0.3641 0.4085 0.9472  4 O 1.93-1.97
Zn 0.6359 0.5915 0.0528  4 O 1.93-1.97


[2]
This record from OQMD via LeMat-Bulk describes a geometry-optimized RbHgAsO structure. The functional is PBE.

Summary:
Space group ... Pmc2_1

Cell lengths 3.3406, 10.0572, 5.6893 Å; angles 90.00, 90.00, 90.00 degrees
Closest atoms and distances in Å follow each position.
Fractional positions:
Rb 0.5000 0.8743 0.9432  3 O 2.69-2.85
Rb 0.5000 0.1257 0.4432  3 O 2.69-2.85
Hg 0.0000 0.7088 0.4383  2 O 2.25
Hg 0.0000 0.2912 0.9383  2 O 2.25
As 0.0000 0.4565 0.4289  1 Hg 2.54
As 0.0000 0.5435 0.9289  1 Hg 2.54
O 0.5000 0.1417 0.9436  2 Hg 2.25
O 0.5000 0.8583 0.4436  2 Hg 2.25


[3]
This record from OQMD via LeMat-Bulk describes a geometry-optimized Tl2PdO2 structure. The functional is PBE.

Summary:
Space group ... Pbam

Cell lengths 5.8708, 9.6842, 3.1452 Å; angles 90.00, 90.00, 90.00 degrees
Closest atoms and distances in Å follow each position.
Fractional positions:
O 0.1445 0.1103 0.5000  2 Pd 2.08
O 0.3555 0.6103 0.5000  2 Pd 2.08
O 0.6445 0.3897 0.5000  2 Pd 2.08
O 0.8555 0.8897 0.5000  2 Pd 2.08
Tl 0.0440 0.3322 0.0000  4 O 2.73-2.88
Tl 0.9560 0.6678 0.0000  4 O 2.73-2.88
Tl 0.5440 0.1678 0.0000  4 O 2.73-2.88
Tl 0.4560 0.8322 0.0000  4 O 2.73-2.88
Pd 0.0000 0.0000 0.0000  4 O 2.08
Pd 0.5000 0.5000 0.0000  4 O 2.08


[4]
This record from OQMD via LeMat-Bulk describes a geometry-optimized CoCuHgAs structure. The functional is PBE.

Summary:
Spin magnetization ... 0.02 μB per formula unit
Space group ... F-43m

Cell lengths 4.4168, 4.4168, 4.4168 Å; angles 60.00, 60.00, 60.00 degrees
Closest atoms and distances in Å follow each position.
Fractional positions:
Co 0.7500 0.7500 0.7500  4 As 2.70, 4 Hg 2.70
Hg 0.5000 0.5000 0.5000  4 Cu 2.70, 4 Co 2.70
Cu 0.2500 0.2500 0.2500  4 Hg 2.70, 4 As 2.70
As 0.0000 0.0000 0.0000  4 Co 2.70, 4 Cu 2.70


[5]
This record from OQMD via LeMat-Bulk describes a geometry-optimized Sr2HfPtS6 structure. The functional is PBE.

Summary:
Spin magnetization ... 0.01 μB per formula unit
Space group ... P-1

Cell lengths 6.5739, 6.6309, 6.6381 Å; angles 63.53, 63.77, 63.50 degrees
Closest atoms and distances in Å follow each position.
Fractional positions:
Hf 0.0000 0.5000 0.0000  6 S 2.52-2.53
S 0.3438 0.2427 0.1679  1 Pt 2.42, 1 Hf 2.52
S 0.1701 0.8394 0.7321  1 Pt 2.42, 1 Hf 2.53
S 0.2520 0.3251 0.6634  1 Pt 2.42, 1 Hf 2.53
S 0.6562 0.7573 0.8321  1 Pt 2.42, 1 Hf 2.52
S 0.8299 0.1606 0.2679  1 Pt 2.42, 1 Hf 2.53
S 0.7480 0.6749 0.3366  1 Pt 2.42, 1 Hf 2.53
Sr 0.2557 0.7523 0.2615  4 S 2.90-3.19
Sr 0.7443 0.2477 0.7385  4 S 2.90-3.19
Pt 0.5000 0.0000 0.5000  6 S 2.42


[6]
This record from OQMD via LeMat-Bulk describes a geometry-optimized PaBAu structure. The functional is PBE.

Summary:
Spin magnetization ... 0.38 μB per formula unit
Space group ... F-43m

Cell lengths 4.5529, 4.5529, 4.5529 Å; angles 60.00, 60.00, 60.00 degrees
Closest atoms and distances in Å follow each position.
Fractional positions:
Pa 0.0000 0.0000 0.0000  4 B 2.79, 4 Au 2.79
Au 0.2500 0.2500 0.2500  4 Pa 2.79
B 0.7500 0.7500 0.7500  4 Pa 2.79


Number 1: final energy -6.51 eV per atom. Number 2: final energy -3.06 eV per atom. Number 3: final energy -4.40 eV per atom. Number 4: final energy -3.57 eV per atom. Number 5: final energy -5.68 eV per atom. Number 6: final energy -5.76 eV per atom.